# GGA-PBEsol In2MoRu, optimized geometry
# Energy of formation = 0.10 eV per atom
# Relative energy among the computed polymorphs = 0.00 kcal/mol of atoms
# Magnetization = 0.000 μB/cell
data_In2MoRu
_chemical_formula_sum 'In2 Mo1 Ru1'
_space_group_name_H-M_alt 'P 4 m m'
_space_group_IT_number 99
_cell_length_a 2.9762
_cell_length_b 2.9762
_cell_length_c 8.2362
_cell_angle_alpha 90.00
_cell_angle_beta 90.00
_cell_angle_gamma 90.00
loop_
_space_group_symop_operation_xyz
'x,y,z'
'-y,x,z'
'-x,-y,z'
'y,-x,z'
'-x,y,z'
'y,x,z'
'x,-y,z'
'-y,-x,z'
loop_
_atom_site_label
_atom_site_fract_x
_atom_site_fract_y
_atom_site_fract_z
In1 0.0000 0.0000 0.0000
In2 0.5000 0.5000 0.3314
Mo1 0.0000 0.0000 0.5839
Ru1 0.5000 0.5000 0.7627